# 1
Crystalline Ac2MgNi9 at its relaxed geometry, computed with PBE.

Computed properties:
* size of the total moment: 2.10 μB/cell
* calculated formation energy: -0.115 eV/atom

Cell lengths 8.9591, 8.9591, 8.9591 Å; angles 32.60, 32.60, 32.60 degrees
Element x y z (fractional)
Ac (0.1332, 0.1332, 0.1332)
Ac (0.8668, 0.8668, 0.8668)
Mg (0.0000, 0.0000, 0.0000)
Ni (0.0776, 0.5757, 0.5757)
Ni (0.3325, 0.3325, 0.3325)
Ni (0.4243, 0.4243, 0.9224)
Ni (0.4243, 0.9224, 0.4243)
Ni (0.5000, 0.5000, 0.5000)
Ni (0.5757, 0.0776, 0.5757)
Ni (0.5757, 0.5757, 0.0776)
Ni (0.6675, 0.6675, 0.6675)
Ni (0.9224, 0.4243, 0.4243)

# 2
Crystalline AcMgNi at its relaxed geometry, computed with PBE.

Computed properties:
* size of the total moment: 0.00 μB/cell
* calculated formation energy: -0.075 eV/atom
* ΔE to the lowest computed polymorph: 0.1429 eV per atom

Cell lengths 4.5561, 4.5561, 4.2661 Å; angles 90.00, 90.00, 120.00 degrees
Element x y z (fractional)
Ac (0.0000, 0.0000, 0.0000)
Mg (0.6667, 0.3333, 0.5000)
Ni (0.3333, 0.6667, 0.5000)

# 3
Crystalline AcMg10Ni3 at its relaxed geometry, computed with PBE.

Computed properties:
* size of the total moment: 0.00 μB/cell
* calculated formation energy: -0.020 eV/atom

Cell lengths 9.5299, 9.5299, 9.5299 Å; angles 60.00, 60.00, 60.00 degrees
Element x y z (fractional)
Ac (0.2500, 0.2500, 0.2500)
Ac (0.7500, 0.7500, 0.7500)
Mg (0.0000, 0.0000, 0.3331)
Mg (0.0000, 0.0000, 0.6669)
Mg (0.0000, 0.3331, 0.0000)
Mg (0.0000, 0.3331, 0.6669)
Mg (0.0000, 0.6669, 0.0000)
Mg (0.0000, 0.6669, 0.3331)
Mg (0.1747, 0.6084, 0.6084)
Mg (0.3331, 0.0000, 0.0000)
Mg (0.3331, 0.0000, 0.6669)
Mg (0.3331, 0.6669, 0.0000)
Mg (0.3916, 0.3916, 0.3916)
Mg (0.3916, 0.3916, 0.8253)
Mg (0.3916, 0.8253, 0.3916)
Mg (0.6084, 0.1747, 0.6084)
Mg (0.6084, 0.6084, 0.1747)
Mg (0.6084, 0.6084, 0.6084)
Mg (0.6669, 0.0000, 0.0000)
Mg (0.6669, 0.0000, 0.3331)
Mg (0.6669, 0.3331, 0.0000)
Mg (0.8253, 0.3916, 0.3916)
Ni (0.2677, 0.2677, 0.7323)
Ni (0.2677, 0.7323, 0.2677)
Ni (0.2677, 0.7323, 0.7323)
Ni (0.7323, 0.2677, 0.2677)
Ni (0.7323, 0.2677, 0.7323)
Ni (0.7323, 0.7323, 0.2677)

# 4
Crystalline AcMgNi2 at its relaxed geometry, computed with PBE.

Computed properties:
* size of the total moment: 0.00 μB/cell
* calculated formation energy: -0.006 eV/atom

Cell lengths 3.8299, 4.8824, 4.8824 Å; angles 81.35, 90.00, 90.00 degrees
Element x y z (fractional)
Ac (0.0000, 0.0000, 0.0000)
Mg (0.5000, 0.5783, 0.5783)
Ni (0.5000, 0.0917, 0.4664)
Ni (0.5000, 0.4664, 0.0917)